## w
The following is a DFT calculation (GGA-PBE) of HoMgCo2 after structural relaxation.

## Properties
**Calculated volume**: 16.0 Å³ per atom
**Magnetic moment**: 0.00 μB per formula unit
**Symmetry**: No. 123

Unit cell a=3.2176 b=3.2176 c=6.1864 alpha=90.00 beta=90.00 gamma=90.00
Sites, in units of the cell vectors:
Mg (0.5000, 0.5000, 0.5000)
Co (0.0000, 0.0000, 0.7289)
Co (0.0000, 0.0000, 0.2711)
Ho (0.5000, 0.5000, 0.0000)

***

## x
The following is a DFT calculation (GGA-PBE) of HoMgCo2 after structural relaxation.

## Properties
**Calculated volume**: 16.0 Å³ per atom
**Magnetic moment**: 0.00 μB per formula unit
**Symmetry**: No. 225

Unit cell a=4.4861 b=4.4861 c=4.4861 alpha=60.00 beta=60.00 gamma=60.00
Sites, in units of the cell vectors:
Mg (0.5000, 0.5000, 0.5000)
Co (0.2500, 0.2500, 0.2500)
Co (0.7500, 0.7500, 0.7500)
Ho (0.0000, 0.0000, 0.0000)

***

Bottom line: x, by a margin of 2.7 kJ/mol of atoms.

***

## w
The following is a DFT calculation (GGA-PBE) of Ho4MgCo after structural relaxation.

## Properties
**Calculated volume**: 25.4 Å³ per atom
**Magnetic moment**: 0.00 μB per formula unit
**Symmetry**: No. 216

Unit cell a=9.5228 b=9.5228 c=9.5228 alpha=60.00 beta=60.00 gamma=60.00
Sites, in units of the cell vectors:
Ho (0.3443, 0.3443, 0.3443)
Ho (0.3443, 0.3443, 0.9670)
Ho (0.3443, 0.9670, 0.3443)
Ho (0.9670, 0.3443, 0.3443)
Ho (0.8134, 0.1866, 0.1866)
Ho (0.1866, 0.8134, 0.8134)
Ho (0.1866, 0.8134, 0.1866)
Ho (0.8134, 0.1866, 0.8134)
Ho (0.1866, 0.1866, 0.8134)
Ho (0.8134, 0.8134, 0.1866)
Ho (0.9374, 0.5626, 0.5626)
Ho (0.5626, 0.9374, 0.9374)
Ho (0.5626, 0.9374, 0.5626)
Ho (0.9374, 0.5626, 0.9374)
Ho (0.5626, 0.5626, 0.9374)
Ho (0.9374, 0.9374, 0.5626)
Mg (0.5793, 0.5793, 0.5793)
Mg (0.5793, 0.5793, 0.2621)
Mg (0.5793, 0.2621, 0.5793)
Mg (0.2621, 0.5793, 0.5793)
Co (0.1408, 0.1408, 0.1408)
Co (0.1408, 0.1408, 0.5777)
Co (0.1408, 0.5777, 0.1408)
Co (0.5777, 0.1408, 0.1408)

***

## x
The following is a DFT calculation (GGA-PBE) of Ho4MgCo after structural relaxation.

## Properties
**Calculated volume**: 26.6 Å³ per atom
**Magnetic moment**: 0.00 μB per formula unit
**Symmetry**: No. 15

Unit cell a=5.9743 b=9.1504 c=7.7020 alpha=116.89 beta=99.83 gamma=111.44
Sites, in units of the cell vectors:
Ho (0.3947, 0.9415, 0.6736)
Ho (0.9254, 0.8082, 0.1725)
Ho (0.2211, 0.2679, 0.3264)
Ho (0.2530, 0.6358, 0.8275)
Ho (0.6053, 0.0585, 0.3264)
Ho (0.7789, 0.7321, 0.6736)
Ho (0.0746, 0.1918, 0.8275)
Ho (0.7470, 0.3642, 0.1725)
Mg (0.3710, 0.6210, 0.2420)
Mg (0.6290, 0.3790, 0.7580)
Co (0.7511, 0.0011, 0.0022)
Co (0.2489, 0.9989, 0.9978)

***

Bottom line: w, by a margin of 6.8 kJ/mol of atoms.

***

## w
The following is a DFT calculation (GGA-PBE) of Ho3MgCo after structural relaxation.

## Properties
**Calculated volume**: 25.2 Å³ per atom
**Magnetic moment**: 0.00 μB per formula unit
**Symmetry**: No. 12

Unit cell a=3.5175 b=6.4765 c=11.6899 alpha=99.61 beta=90.00 gamma=105.76
Sites, in units of the cell vectors:
Ho (0.1144, 0.2288, 0.4419)
Ho (0.8856, 0.7712, 0.5581)
Ho (0.5058, 0.0116, 0.1824)
Ho (0.4942, 0.9884, 0.8176)
Ho (0.2075, 0.4151, 0.7365)
Ho (0.7925, 0.5849, 0.2635)
Mg (0.8454, 0.6908, 0.9755)
Mg (0.1546, 0.3092, 0.0245)
Co (0.5629, 0.1258, 0.6151)
Co (0.4371, 0.8742, 0.3849)

***

## x
The following is a DFT calculation (GGA-PBE) of Ho3MgCo after structural relaxation.

## Properties
**Calculated volume**: 27.8 Å³ per atom
**Magnetic moment**: 0.00 μB per formula unit
**Symmetry**: No. 221

Unit cell a=5.1799 b=5.1799 c=5.1799 alpha=90.00 beta=90.00 gamma=90.00
Sites, in units of the cell vectors:
Mg (0.5000, 0.5000, 0.5000)
Co (0.0000, 0.0000, 0.0000)
Ho (0.0000, 0.5000, 0.0000)
Ho (0.0000, 0.0000, 0.5000)
Ho (0.5000, 0.0000, 0.0000)

***

Bottom line: w, by a margin of 7.3 kJ/mol of atoms.